(1)
First-principles (GGA-PBE) data for BeAlIr2 after structural relaxation, as listed in the Alexandria database.

a = 2.9119 Å, b = 2.9119 Å, c = 5.8571 Å
α = 90.00°, β = 90.00°, γ = 90.00°
Closest atoms and distances in Å follow each position.
Space group P4/mmm (No. 123)
One atom of each set of equivalent atoms:
Be 0.0000 0.0000 0.0000 x1  8 Ir 2.48
Al 0.0000 0.0000 0.5000 x1  8 Ir 2.58
Ir 0.5000 0.5000 0.2351 x2  4 Be 2.48, 4 Al 2.58, 1 Ir 2.75

---

(2)
First-principles (GGA-PBE) data for Be2AlIr after structural relaxation, as listed in the Alexandria database.

a = 2.8592 Å, b = 4.5880 Å, c = 7.7084 Å
α = 90.00°, β = 90.00°, γ = 90.00°
Closest atoms and distances in Å follow each position.
Space group Cmmm (No. 65)
One atom of each set of equivalent atoms:
Be 0.0000 0.0000 0.2311 x4  2 Ir 2.28, 2 Al 2.52
Al 0.0000 0.5000 0.5000 x2  4 Be 2.52, 4 Al 2.70
Ir 0.0000 0.5000 0.0000 x2  4 Be 2.28

---

(3)
First-principles (GGA-PBE) data for BeAlIr2 after structural relaxation, as listed in the Alexandria database.

a = 6.5393 Å, b = 6.5393 Å, c = 5.1498 Å
α = 90.00°, β = 90.00°, γ = 90.00°
Closest atoms and distances in Å follow each position.
Space group I-42d (No. 122)
One atom of each set of equivalent atoms:
Be 0.0000 0.0000 0.0000 x4  4 Ir 2.15
Al 0.0000 0.0000 0.5000 x4  2 Be 2.57, 8 Ir 2.69-2.82
Ir 0.1893 0.2500 0.1250 x8  2 Be 2.15

---

(4)
First-principles (GGA-PBE) data for Be2AlIr after structural relaxation, as listed in the Alexandria database.

a = 5.7180 Å, b = 5.7180 Å, c = 5.7180 Å
α = 90.00°, β = 90.00°, γ = 90.00°
Closest atoms and distances in Å follow each position.
Space group F-43m (No. 216)
One atom of each set of equivalent atoms:
Be 0.0000 0.0000 0.0000 x4  4 Be 2.48, 4 Al 2.48
Be 0.2500 0.2500 0.2500 x4  4 Ir 2.48, 4 Be 2.48
Al 0.2500 0.2500 0.7500 x4  4 Be 2.48, 4 Ir 2.48
Ir 0.0000 0.0000 0.5000 x4  4 Be 2.48, 4 Al 2.48

---

(5)
First-principles (GGA-PBE) data for BeAlIr after structural relaxation, as listed in the Alexandria database.

a = 5.6431 Å, b = 5.6431 Å, c = 5.6431 Å
α = 90.00°, β = 90.00°, γ = 90.00°
Closest atoms and distances in Å follow each position.
Space group F-43m (No. 216)
One atom of each set of equivalent atoms:
Be 0.0000 0.0000 0.0000 x4  4 Ir 2.44
Al 0.0000 0.0000 0.5000 x4  4 Ir 2.44
Ir 0.2500 0.2500 0.2500 x4  4 Be 2.44, 4 Al 2.44

---

(6)
First-principles (GGA-PBE) data for Be2AlIr after structural relaxation, as listed in the Alexandria database.

a = 3.3724 Å, b = 3.6363 Å, c = 7.4656 Å
α = 90.00°, β = 90.00°, γ = 90.00°
Closest atoms and distances in Å follow each position.
Space group Imm2 (No. 44)
One atom of each set of equivalent atoms:
Be 0.0000 0.0000 0.0000 x2  4 Be 2.44-2.68, 4 Ir 2.48, 4 Al 2.55-2.57
Be 0.0000 0.5000 0.2638 x2  4 Be 2.44-2.68, 4 Al 2.48, 4 Ir 2.51-2.61
Al 0.0000 0.5000 0.7566 x2  8 Be 2.48-2.57, 4 Ir 2.56
Ir 0.0000 0.0000 0.5144 x2  8 Be 2.48-2.61, 4 Al 2.56

---

(7)
First-principles (GGA-PBE) data for Be2AlIr after structural relaxation, as listed in the Alexandria database.

a = 5.0853 Å, b = 8.0794 Å, c = 2.7495 Å
α = 90.00°, β = 121.20°, γ = 90.00°
Closest atoms and distances in Å follow each position.
Space group C2/m (No. 12)
One atom of each set of equivalent atoms:
Be 0.2500 0.2500 0.0000 x4  2 Al 2.40, 2 Ir 2.40, 4 Be 2.54-2.60
Al 0.0000 0.0000 0.5000 x2  4 Be 2.40, 4 Ir 2.54-2.60
Ir 0.0000 0.5000 0.5000 x2  4 Be 2.40, 4 Al 2.54-2.60

---

(8)
First-principles (GGA-PBE) data for BeAlIr3 after structural relaxation, as listed in the Alexandria database.

a = 4.4173 Å, b = 4.4173 Å, c = 4.4173 Å
α = 90.00°, β = 90.00°, γ = 90.00°
Closest atoms and distances in Å follow each position.
Space group Pm-3m (No. 221)
One atom of each set of equivalent atoms:
Be 0.0000 0.0000 0.0000 x1  12 Ir 3.12
Al 0.5000 0.5000 0.5000 x1  6 Ir 2.21
Ir 0.0000 0.5000 0.5000 x3  2 Al 2.21

---

(9)
First-principles (GGA-PBE) data for BeAl3Ir after structural relaxation, as listed in the Alexandria database.

a = 4.7475 Å, b = 4.7475 Å, c = 4.7475 Å
α = 90.00°, β = 90.00°, γ = 90.00°
Closest atoms and distances in Å follow each position.
Space group Pm-3m (No. 221)
One atom of each set of equivalent atoms:
Be 0.0000 0.0000 0.0000 x1  12 Al 3.36
Al 0.0000 0.5000 0.5000 x3  2 Ir 2.37
Ir 0.5000 0.5000 0.5000 x1  6 Al 2.37

---

(10)
First-principles (GGA-PBE) data for BeAlIr after structural relaxation, as listed in the Alexandria database.

a = 3.9318 Å, b = 3.9318 Å, c = 2.8608 Å
α = 90.00°, β = 90.00°, γ = 120.00°
Closest atoms and distances in Å follow each position.
Space group P-6m2 (No. 187)
One atom of each set of equivalent atoms:
Be 0.0000 0.0000 0.0000 x1  3 Ir 2.27
Al 0.3333 0.6667 0.5000 x1  6 Be 2.68, 6 Ir 2.68, 2 Al 2.86
Ir 0.6667 0.3333 0.0000 x1  3 Be 2.27

---

(11)
First-principles (GGA-PBE) data for BeAlIr after structural relaxation, as listed in the Alexandria database.

a = 2.8473 Å, b = 4.6956 Å, c = 11.9130 Å
α = 90.00°, β = 90.00°, γ = 90.00°
Closest atoms and distances in Å follow each position.
Space group Fmm2 (No. 42)
One atom of each set of equivalent atoms:
Be 0.0000 0.0000 0.0000 x4  2 Ir 2.30, 2 Al 2.49
Al 0.0000 0.0000 0.3290 x4  2 Be 2.49, 2 Ir 2.55, 4 Al 2.75
Ir 0.0000 0.0000 0.6512 x4  2 Be 2.30, 2 Al 2.55

---

(12)
First-principles (GGA-PBE) data for LaBe2AlIr after structural relaxation, as listed in the Alexandria database.

a = 4.4333 Å, b = 4.4333 Å, c = 4.6479 Å
α = 90.00°, β = 90.00°, γ = 90.00°
Closest atoms and distances in Å follow each position.
Space group P4/mmm (No. 123)
One atom of each set of equivalent atoms:
La 0.0000 0.0000 0.0000 x1  4 Al 3.13, 8 Be 3.21
Be 0.0000 0.5000 0.5000 x2  2 Ir 2.22
Al 0.5000 0.5000 0.0000 x1  2 Ir 2.32
Ir 0.5000 0.5000 0.5000 x1  4 Be 2.22, 2 Al 2.32

---

| no. | energy of formation from the pure elements (eV per formula unit) | calculated density (kg/m3) | size of the total moment (μB per cell) |
| --- | --- | --- | --- |
| 1 | -3.10 | 14058 | 0.00 |
| 2 | 0.24 | 7791 | 0.00 |
| 3 | -0.46 | 12681 | 0.00 |
| 4 | -1.25 | 8428 | 0.00 |
| 5 | -1.05 | 8435 | 0.00 |
| 6 | -1.85 | 8605 | 0.00 |
| 7 | -0.75 | 8153 | 0.00 |
| 8 | 6.03 | 11803 | 0.00 |
| 9 | 1.39 | 4379 | 0.00 |
| 10 | -1.75 | 9894 | 0.00 |
| 11 | -0.33 | 9517 | 0.00 |
| 12 | -2.02 | 6837 | 0.00 |